# Pu2BeBiO8

A geometry-optimized Pu2BeBiO8 structure (PBE-GGA, the Alexandria database).

a = 6.5961 Å, b = 7.2511 Å, c = 6.7888 Å
α = 90.00°, β = 90.00°, γ = 90.00°
Space group Cmmm (No. 65)
Inequivalent atoms, fractional coordinates:
1 Pu 0.0000 0.0000 0.2362 x4
2 Be 0.0000 0.5000 0.0000 x2
3 Bi 0.0000 0.5000 0.5000 x2
4 O 0.0000 0.1775 0.5000 x4
5 O 0.0000 0.1856 0.0000 x4
6 O 0.1902 0.5000 0.2030 x8

Values from the calculation:
The value obtained for the uncorrected formation energy is -2.13 eV per atom. The value obtained for the electronic total energy is -0.622 Ry per atom. The calculation puts the total magnetic moment at 5.0 μB/f.u.


# RbBe2Bi2O6

A geometry-optimized RbBe2Bi2O6 structure (PBE-GGA, the Alexandria database).

a = 6.2682 Å, b = 6.2713 Å, c = 6.3861 Å
α = 63.35°, β = 63.34°, γ = 60.39°
Space group P-1 (No. 2)
Inequivalent atoms, fractional coordinates:
1 Rb 0.0000 0.0000 0.0000 x1
2 Be 0.3518 0.3527 0.7380 x2
3 Bi 0.3209 0.3210 0.3143 x2
4 O 0.1089 0.5035 0.6451 x2
5 O 0.4330 0.4327 0.8772 x2
6 O 0.4998 0.1087 0.6472 x2

Values from the calculation:
The value obtained for the uncorrected formation energy is -1.56 eV per atom. The value obtained for the electronic total energy is -0.421 Ry per atom. The calculation puts the total magnetic moment at 0.0 μB/f.u.


# Rb2BeBiO4

A geometry-optimized Rb2BeBiO4 structure (PBE-GGA, the Alexandria database).

a = 5.2608 Å, b = 12.2639 Å, c = 22.5419 Å
α = 90.00°, β = 90.00°, γ = 90.00°
Space group Fddd (No. 70, origin choice 2)
Inequivalent atoms, fractional coordinates:
1 Rb 0.1250 0.1250 0.3051 x16
2 Be 0.1250 0.1250 0.6250 x8
3 Bi 0.1250 0.1250 0.1250 x8
4 O 0.0668 0.2902 0.8348 x32

Values from the calculation:
The value obtained for the uncorrected formation energy is -1.33 eV per atom. The value obtained for the electronic total energy is -0.368 Ry per atom. The calculation puts the total magnetic moment at 0.8 μB/f.u.


# RbBeBiO4

A geometry-optimized RbBeBiO4 structure (PBE-GGA, the Alexandria database).

a = 7.4308 Å, b = 10.5024 Å, c = 6.1968 Å
α = 90.00°, β = 90.00°, γ = 90.00°
Space group Cmcm (No. 63)
Inequivalent atoms, fractional coordinates:
1 Rb 0.0000 0.0000 0.0000 x4
2 Be 0.0000 0.3664 0.2500 x4
3 Bi 0.0000 0.3784 0.7500 x4
4 O 0.0000 0.2732 0.0310 x8
5 O 0.1763 0.4706 0.2500 x8

Values from the calculation:
The value obtained for the uncorrected formation energy is -1.33 eV per atom. The value obtained for the electronic total energy is -0.396 Ry per atom. The calculation puts the total magnetic moment at 0.0 μB/f.u.


# Rb2Be2BiO6

A geometry-optimized Rb2Be2BiO6 structure (PBE-GGA, the Alexandria database).

a = 5.5957 Å, b = 5.5957 Å, c = 6.8317 Å
α = 90.00°, β = 90.00°, γ = 120.00°
Space group P-3m1 (No. 164)
Inequivalent atoms, fractional coordinates:
1 Rb 0.3333 0.6667 0.3489 x2
2 Be 0.3333 0.6667 0.8403 x2
3 Bi 0.0000 0.0000 0.0000 x1
4 O 0.1758 0.3516 0.8127 x6

Values from the calculation:
The value obtained for the uncorrected formation energy is -1.54 eV per atom. The value obtained for the electronic total energy is -0.401 Ry per atom. The calculation puts the total magnetic moment at 1.0 μB/f.u.


# RbBe4Bi3O12

A geometry-optimized RbBe4Bi3O12 structure (PBE-GGA, the Alexandria database).

a = 10.5047 Å, b = 10.5047 Å, c = 8.3752 Å
α = 90.00°, β = 90.00°, γ = 120.00°
Space group R32 (No. 155, hexagonal axes)
Inequivalent atoms, fractional coordinates:
1 Rb 0.0000 0.0000 0.0000 x3
2 Be 0.0000 0.0000 0.5000 x3
3 Be 0.0000 0.4413 0.5000 x9
4 Bi 0.0000 0.5482 0.0000 x9
5 O 0.0000 0.5951 0.5000 x9
6 O 0.0000 0.8507 0.5000 x9
7 O 0.0246 0.2090 0.2069 x18

Values from the calculation:
The value obtained for the uncorrected formation energy is -1.51 eV per atom. The value obtained for the electronic total energy is -0.431 Ry per atom. The calculation puts the total magnetic moment at 0.0 μB/f.u.


# Be2BiSeO8

A geometry-optimized Be2BiSeO8 structure (PBE-GGA, the Alexandria database).

a = 4.7014 Å, b = 4.7014 Å, c = 6.6505 Å
α = 90.00°, β = 90.00°, γ = 120.00°
Space group P-3 (No. 147)
Inequivalent atoms, fractional coordinates:
1 Be 0.3333 0.6667 0.2173 x2
2 Bi 0.0000 0.0000 0.5000 x1
3 Se 0.0000 0.0000 0.0000 x1
4 O 0.0234 0.3137 0.1658 x6
5 O 0.3333 0.6667 0.4660 x2

Values from the calculation:
The value obtained for the uncorrected formation energy is -0.93 eV per atom. The value obtained for the electronic total energy is -0.402 Ry per atom. The calculation puts the total magnetic moment at 3.0 μB/f.u.


# Be4Sn3BiO12

A geometry-optimized Be4Sn3BiO12 structure (PBE-GGA, the Alexandria database).

a = 10.2191 Å, b = 10.2191 Å, c = 7.7361 Å
α = 90.00°, β = 90.00°, γ = 120.00°
Space group R32 (No. 155, hexagonal axes)
Inequivalent atoms, fractional coordinates:
1 Be 0.0000 0.0000 0.0000 x3
2 Be 0.0000 0.4446 0.0000 x9
3 Sn 0.0000 0.5547 0.5000 x9
4 Bi 0.0000 0.0000 0.5000 x3
5 O 0.0000 0.5941 0.0000 x9
6 O 0.0000 0.8497 0.0000 x9
7 O 0.0356 0.2120 0.6756 x18

Values from the calculation:
The value obtained for the uncorrected formation energy is -1.85 eV per atom. The value obtained for the electronic total energy is -0.468 Ry per atom. The calculation puts the total magnetic moment at 0.0 μB/f.u.


# Sr2BeBiO5

A geometry-optimized Sr2BeBiO5 structure (PBE-GGA, the Alexandria database).

a = 3.4408 Å, b = 13.8477 Å, c = 11.1129 Å
α = 90.00°, β = 90.00°, γ = 90.00°
Space group Cmc2_1 (No. 36)
Inequivalent atoms, fractional coordinates:
1 Sr 0.0000 0.0926 0.0000 x4
2 Sr 0.0000 0.1296 0.6778 x4
3 Be 0.0000 0.4451 0.7410 x4
4 Bi 0.0000 0.1909 0.3774 x4
5 O 0.0000 0.0329 0.3176 x4
6 O 0.0000 0.2892 0.0154 x4
7 O 0.0000 0.3254 0.7422 x4
8 O 0.0000 0.3446 0.3451 x4
9 O 0.0000 0.4992 0.6194 x4

Values from the calculation:
The value obtained for the uncorrected formation energy is -2.12 eV per atom. The value obtained for the electronic total energy is -0.448 Ry per atom. The calculation puts the total magnetic moment at 0.5 μB/f.u.


# Sr3Be2BiO6

A geometry-optimized Sr3Be2BiO6 structure (PBE-GGA, the Alexandria database).

a = 5.6287 Å, b = 5.6287 Å, c = 7.1453 Å
α = 90.00°, β = 90.00°, γ = 120.00°
Space group P-3m1 (No. 164)
Inequivalent atoms, fractional coordinates:
1 Sr 0.0000 0.0000 0.0000 x1
2 Sr 0.3333 0.6667 0.7385 x2
3 Be 0.3333 0.6667 0.2553 x2
4 Bi 0.0000 0.0000 0.5000 x1
5 O 0.1755 0.3510 0.2550 x6

Values from the calculation:
The value obtained for the uncorrected formation energy is -2.18 eV per atom. The value obtained for the electronic total energy is -0.443 Ry per atom. The calculation puts the total magnetic moment at 0.0 μB/f.u.


# BeBiTeO6

A geometry-optimized BeBiTeO6 structure (PBE-GGA, the Alexandria database).

a = 5.0219 Å, b = 5.0219 Å, c = 9.6495 Å
α = 90.00°, β = 90.00°, γ = 120.00°
Space group P-31c (No. 163)
Inequivalent atoms, fractional coordinates:
1 Be 0.3333 0.6667 0.2500 x2
2 Bi 0.0000 0.0000 0.0000 x2
3 Te 0.3333 0.6667 0.7500 x2
4 O 0.0122 0.3761 0.1413 x12

Values from the calculation:
The value obtained for the uncorrected formation energy is -1.26 eV per atom. The value obtained for the electronic total energy is -0.423 Ry per atom. The calculation puts the total magnetic moment at 0.0 μB/f.u.


# Be2TlBi2O6

A geometry-optimized Be2TlBi2O6 structure (PBE-GGA, the Alexandria database).

a = 5.3335 Å, b = 5.3335 Å, c = 7.8933 Å
α = 90.00°, β = 90.00°, γ = 120.00°
Space group P-3 (No. 147)
Inequivalent atoms, fractional coordinates:
1 Be 0.3333 0.6667 0.3048 x2
2 Tl 0.0000 0.0000 0.5000 x1
3 Bi 0.3333 0.6667 0.8273 x2
4 O 0.0350 0.6512 0.3004 x6

Values from the calculation:
The value obtained for the uncorrected formation energy is -1.45 eV per atom. The value obtained for the electronic total energy is -0.423 Ry per atom. The calculation puts the total magnetic moment at 0.0 μB/f.u.


# UBeBiO6

A geometry-optimized UBeBiO6 structure (PBE-GGA, the Alexandria database).

a = 5.1832 Å, b = 5.1832 Å, c = 9.8242 Å
α = 90.00°, β = 90.00°, γ = 120.00°
Space group P-31c (No. 163)
Inequivalent atoms, fractional coordinates:
1 U 0.3333 0.6667 0.2500 x2
2 Be 0.3333 0.6667 0.7500 x2
3 Bi 0.0000 0.0000 0.0000 x2
4 O 0.0256 0.3717 0.6399 x12

Values from the calculation:
The value obtained for the uncorrected formation energy is -2.09 eV per atom. The value obtained for the electronic total energy is -0.551 Ry per atom. The calculation puts the total magnetic moment at 0.0 μB/f.u.


# BeBiOs2

A geometry-optimized BeBiOs2 structure (PBE-GGA, the Alexandria database).

a = 6.3796 Å, b = 6.3796 Å, c = 6.3796 Å
α = 90.00°, β = 90.00°, γ = 90.00°
Space group F-43m (No. 216)
Inequivalent atoms, fractional coordinates:
1 Be 0.0000 0.0000 0.0000 x4
2 Bi 0.2500 0.2500 0.7500 x4
3 Os 0.0000 0.0000 0.5000 x4
4 Os 0.2500 0.2500 0.2500 x4

Values from the calculation:
Its offset from the most stable computed form is 173 meV per atom. The value obtained for the electronic total energy is -0.482 Ry per atom. The calculation puts the total magnetic moment at 0.0 μB/f.u. The formation energy is 959 meV/atom.


# BeBiOs3

A geometry-optimized BeBiOs3 structure (PBE-GGA, the Alexandria database).

a = 4.9491 Å, b = 4.9491 Å, c = 4.9491 Å
α = 90.00°, β = 90.00°, γ = 90.00°
Space group Pm-3m (No. 221)
Inequivalent atoms, fractional coordinates:
1 Be 0.0000 0.0000 0.0000 x1
2 Bi 0.5000 0.5000 0.5000 x1
3 Os 0.0000 0.5000 0.5000 x3

Values from the calculation:
Its offset from the most stable computed form is 2352 meV per atom. The value obtained for the electronic total energy is -0.364 Ry per atom. The calculation puts the total magnetic moment at 3.0 μB/f.u. The formation energy is 3304 meV/atom.


# Be3BiOs

A geometry-optimized Be3BiOs structure (PBE-GGA, the Alexandria database).

a = 4.3332 Å, b = 4.3332 Å, c = 4.3332 Å
α = 90.00°, β = 90.00°, γ = 90.00°
Space group Pm-3m (No. 221)
Inequivalent atoms, fractional coordinates:
1 Be 0.0000 0.0000 0.5000 x3
2 Bi 0.5000 0.5000 0.5000 x1
3 Os 0.0000 0.0000 0.0000 x1

Values from the calculation:
Its offset from the most stable computed form is 0 meV per atom. The value obtained for the electronic total energy is -0.345 Ry per atom. The calculation puts the total magnetic moment at 0.0 μB/f.u. The formation energy is 561 meV/atom.


# BeBiOs3

A geometry-optimized BeBiOs3 structure (PBE-GGA, the Alexandria database).

a = 4.2649 Å, b = 4.2649 Å, c = 4.2649 Å
α = 90.00°, β = 90.00°, γ = 90.00°
Space group Pm-3m (No. 221)
Inequivalent atoms, fractional coordinates:
1 Be 0.0000 0.0000 0.0000 x1
2 Bi 0.5000 0.5000 0.5000 x1
3 Os 0.0000 0.0000 0.5000 x3

Values from the calculation:
Its offset from the most stable computed form is 0 meV per atom. The value obtained for the electronic total energy is -0.537 Ry per atom. The calculation puts the total magnetic moment at 0.3 μB/f.u. The formation energy is 953 meV/atom.


# Be3BiOs

A geometry-optimized Be3BiOs structure (PBE-GGA, the Alexandria database).

a = 4.5418 Å, b = 4.5418 Å, c = 4.5418 Å
α = 90.00°, β = 90.00°, γ = 90.00°
Space group Pm-3m (No. 221)
Inequivalent atoms, fractional coordinates:
1 Be 0.0000 0.0000 0.5000 x3
2 Bi 0.0000 0.0000 0.0000 x1
3 Os 0.5000 0.5000 0.5000 x1

Values from the calculation:
Its offset from the most stable computed form is 1612 meV per atom. The value obtained for the electronic total energy is -0.227 Ry per atom. The calculation puts the total magnetic moment at 1.1 μB/f.u. The formation energy is 2173 meV/atom.


# BeBiOs2

A geometry-optimized BeBiOs2 structure (PBE-GGA, the Alexandria database).

a = 4.3132 Å, b = 4.3132 Å, c = 16.3188 Å
α = 90.00°, β = 90.00°, γ = 90.00°
Space group I-42d (No. 122)
Inequivalent atoms, fractional coordinates:
1 Be 0.0000 0.0000 0.0000 x4
2 Bi 0.0000 0.0000 0.5000 x4
3 Os 0.1322 0.2500 0.1250 x8

Values from the calculation:
Its offset from the most stable computed form is 0 meV per atom. The value obtained for the electronic total energy is -0.495 Ry per atom. The calculation puts the total magnetic moment at 0.0 μB/f.u. The formation energy is 787 meV/atom.


# Be2BiOs

A geometry-optimized Be2BiOs structure (PBE-GGA, the Alexandria database).

a = 4.1304 Å, b = 4.1304 Å, c = 16.2341 Å
α = 90.00°, β = 90.00°, γ = 90.00°
Space group I4_1/amd (No. 141, origin choice 2)
Inequivalent atoms, fractional coordinates:
1 Be 0.0000 0.0000 0.0000 x8
2 Bi 0.0000 0.2500 0.3750 x4
3 Os 0.0000 0.2500 0.8750 x4

Values from the calculation:
The value obtained for the electronic total energy is -0.365 Ry per atom. The calculation puts the total magnetic moment at 0.0 μB/f.u. The formation energy is 673 meV/atom.